[1]
Density functional theory data (GGA-PBE) for KLuHgO3 after structural relaxation.

Unit cell a=7.0158 b=7.0158 c=8.8138 alpha=90.00 beta=90.00 gamma=151.17
Positions (direct):
1 Hg 0.1135 0.8865 0.2500
2 Hg 0.8865 0.1135 0.7500
3 K 0.8248 0.1752 0.2500
4 K 0.1752 0.8248 0.7500
5 Lu 0.5000 0.5000 0.0000
6 Lu 0.5000 0.5000 0.5000
7 O 0.1058 0.8942 0.0187
8 O 0.4753 0.5247 0.2500
9 O 0.1058 0.8942 0.4813
10 O 0.8942 0.1058 0.5187
11 O 0.5247 0.4753 0.7500
12 O 0.8942 0.1058 0.9813

Calculated values
- energy (eV/atom) = -5.38

[2]
Density functional theory data (GGA-PBE) for Hf2FeSb2Pt after structural relaxation.

Unit cell a=6.2507 b=6.2507 c=7.5979 alpha=65.71 beta=65.71 gamma=90.00
Positions (direct):
1 Fe 0.0000 0.0000 0.0000
2 Fe 0.2500 0.7500 0.5000
3 Hf 0.1250 0.1165 0.2500
4 Hf 0.6250 0.6335 0.2500
5 Hf 0.3665 0.8750 0.7500
6 Hf 0.8835 0.3750 0.7500
7 Pt 0.5000 0.5000 0.0000
8 Pt 0.7500 0.2500 0.5000
9 Sb 0.6250 0.1042 0.2500
10 Sb 0.1250 0.6458 0.2500
11 Sb 0.3542 0.3750 0.7500
12 Sb 0.8958 0.8750 0.7500

Calculated values
- energy (eV/atom) = -7.83

[3]
Density functional theory data (GGA-PBE) for AlCuIrPd after structural relaxation.

Unit cell a=4.3102 b=4.3102 c=4.3102 alpha=60.00 beta=60.00 gamma=60.00
Positions (direct):
1 Al 0.0000 0.0000 0.0000
2 Cu 0.7500 0.7500 0.7500
3 Ir 0.2500 0.2500 0.2500
4 Pd 0.5000 0.5000 0.5000

Calculated values
- energy above the most stable polymorph in this dataset (meV per atom) = 0
- energy (eV/atom) = -5.64

[4]
Density functional theory data (GGA-PBE) for BeCuReSn after structural relaxation.

Unit cell a=4.2957 b=4.2957 c=4.2957 alpha=60.00 beta=60.00 gamma=60.00
Positions (direct):
1 Be 0.2500 0.2500 0.2500
2 Cu 0.7500 0.7500 0.7500
3 Re 0.5000 0.5000 0.5000
4 Sn 0.0000 0.0000 0.0000

Calculated values
- energy above the most stable polymorph in this dataset (meV per atom) = 74
- energy (eV/atom) = -5.37

[5]
Density functional theory data (GGA-PBE) for LaTlHgSe3 after structural relaxation.

Unit cell a=11.4222 b=4.3953 c=14.2288 alpha=90.00 beta=90.00 gamma=90.00
Positions (direct):
1 Hg 0.2404 0.2500 0.2107
2 Hg 0.7404 0.2500 0.2893
3 Hg 0.2596 0.7500 0.7107
4 Hg 0.7596 0.7500 0.7893
5 La 0.4893 0.7500 0.2398
6 La 0.9893 0.7500 0.2602
7 La 0.0107 0.2500 0.7398
8 La 0.5107 0.2500 0.7602
9 Se 0.4281 0.2500 0.1026
10 Se 0.0388 0.2500 0.1186
11 Se 0.7432 0.7500 0.1707
12 Se 0.2432 0.7500 0.3293
13 Se 0.5388 0.2500 0.3814
14 Se 0.9281 0.2500 0.3974
15 Se 0.0719 0.7500 0.6026
16 Se 0.4612 0.7500 0.6186
17 Se 0.7568 0.2500 0.6707
18 Se 0.2568 0.2500 0.8293
19 Se 0.9612 0.7500 0.8814
20 Se 0.5719 0.7500 0.8974
21 Tl 0.2229 0.7500 0.0012
22 Tl 0.7229 0.7500 0.4988
23 Tl 0.2771 0.2500 0.5012
24 Tl 0.7771 0.2500 0.9988

Calculated values
- energy above the most stable polymorph in this dataset (meV per atom) = 2
- energy (eV/atom) = -4.01

[6]
Density functional theory data (GGA-PBE) for Tb2HfC3 after structural relaxation.

Unit cell a=3.4740 b=3.4740 c=8.6638 alpha=90.00 beta=90.00 gamma=120.00
Positions (direct):
1 C 0.3333 0.6667 0.1433
2 C 0.0000 0.0000 0.5000
3 C 0.6667 0.3333 0.8567
4 Hf 0.0000 0.0000 0.0000
5 Tb 0.6667 0.3333 0.3260
6 Tb 0.3333 0.6667 0.6740

Calculated values
- energy (eV/atom) = -8.06

energy of number 4 (BeCuReSn)?
-5.37 eV/atom

Which value of energy does entry 1 give?
-5.38 eV/atom

Which of these has the lowest energy?
Tb2HfC3

Among the records above, which one has the lowest energy?
Tb2HfC3